# 1
# TaCu2Pt

A relaxed structure of TaCu2Pt (PBE, the Alexandria database).

a b c (Å): 3.785 3.785 4.122
angles (deg): 90.00 90.00 90.00
Sites, in units of the cell vectors:
Ta1 0.000 0.000 0.000
Cu1 0.000 0.500 0.500
Cu2 0.500 0.000 0.500
Pt1 0.500 0.500 0.000

## Properties
Energy relative to the elements: -20 meV per atom
Excess energy over the best structure of this formula in the dataset: 205 meV per atom
DOS at the Fermi energy: 4.87 states/eV/cell

---

# 2
# AlCuHRh2

A relaxed structure of AlCuHRh2 (PBE, the Alexandria database).

a b c (Å): 3.892 3.892 3.771
angles (deg): 90.00 90.00 90.00
Sites, in units of the cell vectors:
Al1 0.000 0.000 0.000
Cu1 0.500 0.500 0.000
H1 0.000 0.000 0.500
Rh1 0.000 0.500 0.500
Rh2 0.500 0.000 0.500

## Properties
Excess energy over the best structure of this formula in the dataset: 170 meV per atom
DOS at the Fermi energy: 4.18 states/eV/cell

---

# 3
# Cd2FeSb2

A relaxed structure of Cd2FeSb2 (PBE, the Alexandria database).

a b c (Å): 6.669 6.669 5.358
angles (deg): 90.00 90.00 90.00
Sites, in units of the cell vectors:
Cd1 0.172 0.328 0.000
Cd2 0.328 0.828 0.000
Cd3 0.672 0.172 0.000
Cd4 0.828 0.672 0.000
Fe1 0.000 0.000 0.500
Fe2 0.500 0.500 0.500
Sb1 0.157 0.657 0.500
Sb2 0.343 0.157 0.500
Sb3 0.657 0.843 0.500
Sb4 0.843 0.343 0.500

## Properties
Energy relative to the elements, uncorrected: 0.261 eV per atom
Excess energy over the best structure of this formula in the dataset: 0 meV per atom
DOS at the Fermi energy: 7.62 states/eV/cell